1.
Here is Li3In at its PBEsol-relaxed geometry from Alexandria. Energies are from SCAN.

- crystal system = monoclinic
- M_tot (Bohr magnetons per cell) = 0.1
- distance to the lowest polymorph of the same formula (meV/atom) = 59.7
- density of states at the Fermi level (states/eV/f.u.) = 1.342

Cell: 2.937 4.710 5.410 Å, 90.00 98.83 90.00°
Element x y z (fractional)
In 0.000 0.000 0.000
Li 0.307 0.500 0.762
Li 0.500 0.000 0.500
Li 0.693 0.500 0.238

---

2.
Here is SbMoI2 at its PBEsol-relaxed geometry from Alexandria. Energies are from SCAN.

- crystal system = cubic
- M_tot (Bohr magnetons per cell) = 2.6
- E_tot (Ry per atom) = -2.5938
- density of states at the Fermi level (states/eV/f.u.) = 3.366

Cell: 5.085 5.085 5.085 Å, 60.00 60.00 60.00°
Site moments in Bohr magnetons follow the coordinates.
Element x y z (fractional)
I 0.250 0.250 0.250  -0.03
I 0.750 0.750 0.750  -0.03
Sb 0.500 0.500 0.500  -0.10
Mo 0.000 0.000 0.000  2.68

---

3.
Here is LiCa2Ir at its PBEsol-relaxed geometry from Alexandria. Energies are from SCAN.

- crystal system = cubic
- M_tot (Bohr magnetons per cell) = 0.0
- distance to the lowest polymorph of the same formula (meV/atom) = 0.0
- density of states at the Fermi level (states/eV/f.u.) = 0.693

Cell: 4.929 4.929 4.929 Å, 60.00 60.00 60.00°
Element x y z (fractional)
Ca 0.250 0.250 0.250
Ca 0.750 0.750 0.750
Ir 0.000 0.000 0.000
Li 0.500 0.500 0.500